No. 1
Computed, not measured: a relaxed structure of Ba3CrIn2O8 at the PBE+U level of DFT.

Output
E_tot	-85.43	eV/f.u.
space group	P-3m1 (164)
size of the total moment	1.87	μB/f.u.

Lattice parameters (Å, degrees): 5.875 5.875 7.722 90.00 90.00 120.00
Atoms (fractional coordinates):
Ba 0.000 0.000 0.000
Ba 0.333 0.667 0.637
Ba 0.667 0.333 0.363
Cr 0.000 0.000 0.500
In 0.333 0.667 0.210
In 0.667 0.333 0.790
O 0.154 0.308 0.345
O 0.154 0.846 0.345
O 0.308 0.154 0.655
O 0.333 0.667 0.954
O 0.667 0.333 0.046
O 0.692 0.846 0.345
O 0.846 0.154 0.655
O 0.846 0.692 0.655

No. 2
Computed, not measured: a relaxed structure of BaCr2InO8 at the PBE+U level of DFT.

Output
E_tot	-78.77	eV/f.u.
space group	P-3 (147)
size of the total moment	1.00	μB/f.u.

Lattice parameters (Å, degrees): 5.445 5.445 7.660 90.00 90.00 120.00
Atoms (fractional coordinates):
Ba 0.000 0.000 0.000
Cr 0.333 0.667 0.750
Cr 0.667 0.333 0.250
In 0.000 0.000 0.500
O 0.085 0.335 0.685
O 0.250 0.915 0.685
O 0.333 0.667 0.967
O 0.335 0.250 0.315
O 0.665 0.750 0.685
O 0.667 0.333 0.033
O 0.750 0.085 0.315
O 0.915 0.665 0.315

No. 3
Computed, not measured: a relaxed structure of BaCrInWO6 at the PBE+U level of DFT.

Output
E_tot	-68.75	eV/f.u.
space group	F-43m (216)
size of the total moment	3.01	μB/f.u.

Lattice parameters (Å, degrees): 5.726 5.726 5.726 60.00 60.00 60.00
Atoms (fractional coordinates):
Ba 0.000 0.000 0.000
Cr 0.250 0.250 0.250
In 0.500 0.500 0.500
W 0.750 0.750 0.750
O 0.507 0.507 0.993
O 0.507 0.993 0.507
O 0.507 0.993 0.993
O 0.993 0.507 0.507
O 0.993 0.507 0.993
O 0.993 0.993 0.507

Which of these has the highest size of the total moment? BaCrInWO6

Look up the size of the total moment of the third one. 3.01 μB/f.u.

What is the size of the total moment in the second record? 1.00 μB/f.u.

Number 3 is which compound? BaCrInWO6